Record 1
# Pm6Ag2C PBE-GGA relaxed
# E_form = -142 meV/atom
data_Pm6Ag2C
_chemical_formula_sum 'Pm12 Ag4 C2'
_symmetry_space_group_name_H-M 'P 1 21/c 1'
_symmetry_Int_Tables_number 14
_symmetry_space_group_name_Hall '-P 2ybc'
_cell_length_a 6.8327
_cell_length_b 7.3313
_cell_length_c 12.1530
_cell_angle_alpha 90.00
_cell_angle_beta 123.20
_cell_angle_gamma 90.00
loop_
_atom_site_label
_atom_site_fract_x
_atom_site_fract_y
_atom_site_fract_z
Pm1 0.1333 0.0221 0.2394
Pm2 0.2292 0.7064 0.0482
Pm3 0.3509 0.1881 0.0496
Ag1 0.2920 0.0780 0.7504
C1 0.0000 0.0000 0.0000

---

Record 2
# Sc6Bi5Sb PBE-GGA relaxed
# Uncorrected formation energy = -0.71 eV per atom
data_Sc6Bi5Sb
_chemical_formula_sum 'Sc12 Bi10 Sb2'
_symmetry_space_group_name_H-M 'C 1 2/m 1'
_symmetry_Int_Tables_number 12
_symmetry_space_group_name_Hall '-C 2y'
_cell_length_a 7.3563
_cell_length_b 12.7484
_cell_length_c 7.3616
_cell_angle_alpha 90.00
_cell_angle_beta 109.47
_cell_angle_gamma 90.00
loop_
_atom_site_label
_atom_site_fract_x
_atom_site_fract_y
_atom_site_fract_z
Sc1 0.2448 0.0000 0.2509
Sc2 0.2460 0.1642 0.7464
Bi1 0.0000 0.1689 0.0000
Bi2 0.0000 0.3339 0.5000
Bi3 0.0000 0.5000 0.0000
Sb1 0.0000 0.0000 0.5000

---

Record 3
# Np2PaMn9 PBE-GGA relaxed
# E_form = 100 meV/atom
data_Np2PaMn9
_chemical_formula_sum 'Np4 Pa2 Mn18'
_symmetry_space_group_name_H-M 'P 4/m b m'
_symmetry_Int_Tables_number 127
_symmetry_space_group_name_Hall '-P 4 2ab'
_cell_length_a 8.6406
_cell_length_b 8.6406
_cell_length_c 4.5133
_cell_angle_alpha 90.00
_cell_angle_beta 90.00
_cell_angle_gamma 90.00
loop_
_atom_site_label
_atom_site_fract_x
_atom_site_fract_y
_atom_site_fract_z
Np1 0.1169 0.3831 0.0000
Pa1 0.0000 0.0000 0.0000
Mn1 0.0000 0.5000 0.5000
Mn2 0.0576 0.2070 0.5000
Mn3 0.1860 0.6860 0.2443

---

| no. | spin magnetization (μB/f.u.) | E (eV/cell) |
| --- | --- | --- |
| 1 | 0.00 | -89.413 |
| 2 | 0.00 | -140.041 |
| 3 | 2.67 | -233.411 |